[1]
Ba3ScTa | the Alexandria database | meta-GGA SCAN | single point on PBEsol structure; DOS at the Fermi energy = 1.157 states/eV/atom; energy relative to the elements = 1.61 eV per atom; space-group type = Pm-3m
1.0
-3.546 2.240 4.301
2.798 -3.407 4.081
3.961 4.412 0.968
Sc Ba Ta
1 3 1
Direct
0.000 0.000 0.000
0.000 0.000 0.500
0.000 0.500 0.000
0.500 0.000 0.000
0.500 0.500 0.500



[2]
LaInHg2 | the Alexandria database | meta-GGA SCAN | single point on PBEsol structure; DOS at the Fermi energy = 0.372 states/eV/atom; energy relative to the elements = -0.61 eV per atom; space-group type = I4/mmm; polymorph energy (0 for the lowest one) = 0 meV per atom
1.0
-0.155 3.998 3.320
-1.657 -4.684 1.493
2.746 -2.756 3.448
Hg La In
2 1 1
Direct
0.750 0.500 0.750
0.250 0.500 0.250
0.000 0.000 0.000
0.500 0.000 0.500



[3]
TiCoP2O8 | the Alexandria database | meta-GGA SCAN | single point on PBEsol structure; formation energy from raw total energies = -2.48 eV per atom; space-group type = P2_1/m; polymorph energy (0 for the lowest one) = 0 meV per atom
1.0
-4.715 1.084 0.229
-0.411 -2.858 5.065
2.211 8.245 4.832
P O Ti Co
4 16 2 2
Direct
0.430 0.250 0.403
0.888 0.750 0.094
0.112 0.250 0.906
0.570 0.750 0.597
0.351 0.250 0.555
0.741 0.250 0.390
0.845 0.750 0.942
0.264 0.048 0.830
0.736 0.548 0.170
0.736 0.952 0.170
0.714 0.541 0.671
0.286 0.459 0.329
0.196 0.750 0.132
0.264 0.452 0.830
0.259 0.750 0.610
0.804 0.250 0.868
0.286 0.041 0.329
0.155 0.250 0.058
0.649 0.750 0.445
0.714 0.959 0.671
0.465 0.750 0.272
0.535 0.250 0.728
0.963 0.250 0.229
0.037 0.750 0.771



[4]
TiRe3Hg | the Alexandria database | meta-GGA SCAN | single point on PBEsol structure; DOS at the Fermi energy = 0.706 states/eV/atom; energy relative to the elements = 2.06 eV per atom; space-group type = Pm-3m
1.0
-2.185 2.289 -3.232
-3.798 -0.162 2.453
1.125 3.899 2.000
Re Hg Ti
3 1 1
Direct
0.500 0.000 0.000
0.000 0.000 0.500
0.000 0.500 0.000
0.500 0.500 0.500
0.000 0.000 0.000



[5]
Tl6SCl4 | the Alexandria database | meta-GGA SCAN | single point on PBEsol structure; DOS at the Fermi energy = 0.000 states/eV/atom; formation energy from raw total energies = -0.90 eV per atom; space-group type = P4/mnc
1.0
8.221 0.000 0.000
0.000 8.221 0.000
0.000 0.000 9.068
Tl Cl S
12 8 2
Direct
0.500 0.500 0.309
0.500 0.500 0.691
0.380 0.172 0.000
0.828 0.380 0.000
0.620 0.828 0.000
0.672 0.880 0.500
0.880 0.328 0.500
0.172 0.620 0.000
0.328 0.120 0.500
0.000 0.000 0.809
0.000 0.000 0.191
0.120 0.672 0.500
0.335 0.835 0.750
0.665 0.165 0.250
0.165 0.335 0.250
0.335 0.835 0.250
0.165 0.335 0.750
0.835 0.665 0.250
0.665 0.165 0.750
0.835 0.665 0.750
0.000 0.000 0.500
0.500 0.500 0.000



[6]
Na2HOsCl | the Alexandria database | meta-GGA SCAN | single point on PBEsol structure; DOS at the Fermi energy = 0.153 states/eV/atom; space-group type = P4/mmm
1.0
3.313 0.000 0.000
0.000 5.623 0.000
0.000 0.000 5.623
Na Cl H Os
2 1 1 1
Direct
0.000 0.000 0.500
0.000 0.500 0.000
0.500 0.500 0.500
0.500 0.000 0.000
0.000 0.000 0.000



[7]
Cd2H2SO6 | the Alexandria database | meta-GGA SCAN | single point on PBEsol structure; DOS at the Fermi energy = 0.000 states/eV/atom; space-group type = C2/c
1.0
-0.382 4.537 -4.589
-4.126 -1.885 -5.346
-3.563 1.694 5.796
H O Cd S
4 12 4 2
Direct
0.675 0.060 0.238
0.325 0.940 0.762
0.175 0.762 0.940
0.825 0.238 0.060
0.294 0.683 0.044
0.206 0.044 0.683
0.706 0.317 0.956
0.898 0.832 0.757
0.602 0.757 0.832
0.398 0.243 0.168
0.405 0.315 0.538
0.905 0.462 0.685
0.794 0.956 0.317
0.102 0.168 0.243
0.095 0.538 0.315
0.595 0.685 0.462
0.681 0.660 0.146
0.181 0.854 0.340
0.319 0.340 0.854
0.819 0.146 0.660
0.250 0.315 0.315
0.750 0.685 0.685



[8]
Zr2CdBr | the Alexandria database | meta-GGA SCAN | single point on PBEsol structure; DOS at the Fermi energy = 1.048 states/eV/atom; formation energy from raw total energies = -0.21 eV per atom; space-group type = Pm; polymorph energy (0 for the lowest one) = 0 meV per atom
1.0
-0.084 3.158 -0.567
-4.936 -0.337 -1.147
-1.202 -0.678 5.372
Zr Cd Br
2 1 1
Direct
0.926 0.000 0.976
0.603 0.500 0.327
0.336 0.500 0.800
0.634 0.000 0.396



Number 1: E -38.286 eV per atom, density 4.89 g cm⁻³, total moment 1.37 Bohr magnetons per cell. Number 2: E -53.818 eV per atom, density 10.99 g cm⁻³, total moment 0.00 Bohr magnetons per cell. Number 3: E -11.145 eV per atom, density 3.56 g cm⁻³, total moment 6.00 Bohr magnetons per cell. Number 4: E -57.441 eV per atom, density 14.48 g cm⁻³, total moment 0.00 Bohr magnetons per cell. Number 5: E -44.146 eV per atom, density 7.59 g cm⁻³, total moment 0.00 Bohr magnetons per cell. Number 6: E -18.056 eV per atom, density 4.32 g cm⁻³, total moment 2.01 Bohr magnetons per cell. Number 7: E -11.860 eV per atom, density 4.56 g cm⁻³, total moment 0.00 Bohr magnetons per cell. Number 8: E -28.030 eV per atom, density 7.18 g cm⁻³, total moment 0.00 Bohr magnetons per cell.